Material: Sr2LiMgCl
Method: DFT, PBE
State: relaxed

Properties
The formation energy from raw total energies comes out at -0.631 eV/atom. Its total DFT energy (no corrections) is -11.87 eV per formula unit.

a b c (Å): 6.0315 6.0315 4.6153
angles (deg): 90.00 90.00 90.00
Closest atoms and distances in Å follow each position.
Space group P4/mmm (No. 123)
Symmetry-distinct sites (fractional):
Sr 0.0000 0.5000 0.0000 [2 per cell]  2 Cl 3.02
Li 0.0000 0.0000 0.5000 [1 per cell]  2 Cl 2.31
Mg 0.5000 0.5000 0.5000 [1 per cell]  8 Sr 3.80
Cl 0.0000 0.0000 0.0000 [1 per cell]  2 Li 2.31

=====

Material: LiTbMgCl6
Method: DFT, PBE
State: relaxed

Properties
The formation energy from raw total energies comes out at -2.005 eV/atom. Its total DFT energy (no corrections) is -37.26 eV per formula unit.

a b c (Å): 6.5807 6.5807 11.8851
angles (deg): 90.00 90.00 120.00
Closest atoms and distances in Å follow each position.
Space group P-31c (No. 163)
Symmetry-distinct sites (fractional):
Li 0.0000 0.0000 0.0000 [2 per cell]  6 Cl 2.73
Tb 0.3333 0.6667 0.2500 [2 per cell]  6 Cl 2.67
Mg 0.3333 0.6667 0.7500 [2 per cell]  6 Cl 2.53
Cl 0.0159 0.3514 0.6286 [12 per cell]  1 Mg 2.53, 1 Tb 2.67, 1 Li 2.73